No. 1
# NdDy12Er6

A relaxed NdDy12Er6 crystal (PBE, Alexandria).

Computed properties:
ΔE to the lowest computed polymorph ... 282 meV per atom
Space-group type ... R-3m, No. 166
Formation enthalpy at 0 K ... 438 meV per atom

Unit cell a=9.267 b=9.267 c=9.267 alpha=107.77 beta=107.77 gamma=107.77
Fractional positions:
Nd  0.000  0.000  0.000
Dy  0.111  0.500  0.889
Dy  0.111  0.889  0.500
Dy  0.150  0.368  0.368
Dy  0.368  0.150  0.368
Dy  0.368  0.368  0.150
Dy  0.500  0.111  0.889
Dy  0.500  0.889  0.111
Dy  0.632  0.632  0.850
Dy  0.632  0.850  0.632
Dy  0.850  0.632  0.632
Dy  0.889  0.111  0.500
Dy  0.889  0.500  0.111
Er  0.265  0.687  0.687
Er  0.313  0.313  0.735
Er  0.313  0.735  0.313
Er  0.687  0.265  0.687
Er  0.687  0.687  0.265
Er  0.735  0.313  0.313



No. 2
# CeEr2UC4

A relaxed CeEr2UC4 crystal (PBE, Alexandria).

Computed properties:
Space-group type ... P2/m, No. 10
Formation enthalpy at 0 K ... -234 meV per atom

Unit cell a=6.108 b=3.614 c=6.235 alpha=90.00 beta=109.59 gamma=90.00
Fractional positions:
Ce  0.000  0.000  0.000
Er  0.500  0.000  0.500
Er  0.500  0.500  0.000
U  0.000  0.500  0.500
C  0.228  0.000  0.729
C  0.228  0.500  0.267
C  0.772  0.000  0.271
C  0.772  0.500  0.733



No. 3
# Ca2VN3

A relaxed Ca2VN3 crystal (PBE, Alexandria).

Computed properties:
ΔE to the lowest computed polymorph ... 0 meV per atom
Space-group type ... C2/c, No. 15
Energy relative to the elements, uncorrected ... -1.19 eV per atom

Unit cell a=5.940 b=5.940 c=11.645 alpha=90.99 beta=90.99 gamma=123.35
Fractional positions:
Ca  0.040  0.446  0.853
Ca  0.114  0.339  0.423
Ca  0.339  0.114  0.923
Ca  0.446  0.040  0.353
Ca  0.554  0.960  0.647
Ca  0.661  0.886  0.077
Ca  0.886  0.661  0.577
Ca  0.960  0.554  0.147
V  0.267  0.267  0.162
V  0.267  0.267  0.662
V  0.733  0.733  0.338
V  0.733  0.733  0.838
N  0.005  0.995  0.750
N  0.122  0.307  0.038
N  0.161  0.488  0.628
N  0.307  0.122  0.538
N  0.411  0.589  0.250
N  0.488  0.161  0.128
N  0.512  0.839  0.872
N  0.589  0.411  0.750
N  0.693  0.878  0.462
N  0.839  0.512  0.372
N  0.878  0.693  0.962
N  0.995  0.005  0.250



No. 4
# BaCa6Hg2

A relaxed BaCa6Hg2 crystal (PBE, Alexandria).

Computed properties:
Space-group type ... C2/m, No. 12
Formation enthalpy at 0 K ... -154 meV per atom

Unit cell a=8.372 b=8.372 c=5.854 alpha=110.38 beta=110.38 gamma=76.74
Fractional positions:
Ba  0.000  0.000  0.000
Ca  0.137  0.472  0.804
Ca  0.314  0.686  0.500
Ca  0.472  0.137  0.804
Ca  0.528  0.863  0.196
Ca  0.686  0.314  0.500
Ca  0.863  0.528  0.196
Hg  0.288  0.288  0.287
Hg  0.712  0.712  0.713



No. 5
# KSc2Tl

A relaxed KSc2Tl crystal (PBE, Alexandria).

Computed properties:
ΔE to the lowest computed polymorph ... 0 meV per atom
Space-group type ... Pm, No. 6
Formation enthalpy at 0 K ... 103 meV per atom

Unit cell a=3.517 b=3.515 c=9.921 alpha=90.00 beta=90.07 gamma=90.00
Fractional positions:
K  0.000  0.000  0.000
Sc  0.003  0.000  0.463
Sc  0.504  0.500  0.661
Tl  0.502  0.500  0.275



No. 6
# Pr2PuFe2N6

A relaxed Pr2PuFe2N6 crystal (PBE, Alexandria).

Computed properties:
Space-group type ... R-3m, No. 166
Energy relative to the elements, uncorrected ... -0.61 eV per atom

Unit cell a=6.505 b=6.505 c=6.505 alpha=52.16 beta=52.16 gamma=52.16
Fractional positions:
Pr  0.213  0.213  0.213
Pr  0.787  0.787  0.787
Pu  0.000  0.000  0.000
Fe  0.409  0.409  0.409
Fe  0.591  0.591  0.591
N  0.231  0.749  0.749
N  0.251  0.251  0.769
N  0.251  0.769  0.251
N  0.749  0.231  0.749
N  0.749  0.749  0.231
N  0.769  0.251  0.251



No. 7
# PrAlGa2Pd2

A relaxed PrAlGa2Pd2 crystal (PBE, Alexandria).

Computed properties:
Space-group type ... P4/mmm, No. 123
Formation enthalpy at 0 K ... -465 meV per atom

Unit cell a=4.613 b=4.613 c=5.744 alpha=90.00 beta=90.00 gamma=90.00
Fractional positions:
Pr  0.000  0.000  0.000
Al  0.000  0.000  0.500
Ga  0.500  0.500  0.237
Ga  0.500  0.500  0.763
Pd  0.000  0.500  0.500
Pd  0.500  0.000  0.500



No. 8
# TcNi2W

A relaxed TcNi2W crystal (PBE, Alexandria).

Computed properties:
ΔE to the lowest computed polymorph ... 62 meV per atom
Space-group type ... I-4m2, No. 119
Formation enthalpy at 0 K ... 34 meV per atom

Unit cell a=3.769 b=3.769 c=7.420 alpha=90.00 beta=90.00 gamma=90.00
Fractional positions:
Tc  0.000  0.000  0.000
Tc  0.500  0.500  0.500
Ni  0.000  0.000  0.500
Ni  0.000  0.500  0.750
Ni  0.500  0.000  0.250
Ni  0.500  0.500  0.000
W  0.000  0.500  0.250
W  0.500  0.000  0.750



No. 9
# Tb4InHgO

A relaxed Tb4InHgO crystal (PBE, Alexandria).

Computed properties:
Space-group type ... Cmcm, No. 63
Energy relative to the elements, uncorrected ... -1.08 eV per atom

Unit cell a=8.677 b=8.677 c=6.630 alpha=90.00 beta=90.00 gamma=135.14
Fractional positions:
Tb  0.000  0.500  0.000
Tb  0.000  0.500  0.500
Tb  0.071  0.929  0.750
Tb  0.419  0.581  0.750
Tb  0.500  0.000  0.000
Tb  0.500  0.000  0.500
Tb  0.581  0.419  0.250
Tb  0.929  0.071  0.250
In  0.388  0.612  0.250
In  0.612  0.388  0.750
Hg  0.117  0.883  0.250
Hg  0.883  0.117  0.750
O  0.254  0.746  0.750
O  0.746  0.254  0.250



No. 10
# RbEuCd2

A relaxed RbEuCd2 crystal (PBE, Alexandria).

Computed properties:
ΔE to the lowest computed polymorph ... 53 meV per atom
Space-group type ... P4/mmm, No. 123
Formation enthalpy at 0 K ... -73 meV per atom

Unit cell a=6.017 b=6.017 c=3.923 alpha=90.00 beta=90.00 gamma=90.00
Fractional positions:
Rb  0.000  0.000  0.000
Eu  0.500  0.500  0.000
Cd  0.000  0.500  0.500
Cd  0.500  0.000  0.500



No. 11
# SmMg8Cu4

A relaxed SmMg8Cu4 crystal (PBE, Alexandria).

Computed properties:
Space-group type ... I4/mmm, No. 139
Formation enthalpy at 0 K ... -109 meV per atom

Unit cell a=7.279 b=7.279 c=7.279 alpha=97.83 beta=97.83 gamma=136.67
Fractional positions:
Sm  0.000  0.000  0.000
Mg  0.000  0.342  0.342
Mg  0.000  0.658  0.658
Mg  0.283  0.500  0.783
Mg  0.342  0.000  0.342
Mg  0.500  0.283  0.783
Mg  0.500  0.717  0.217
Mg  0.658  0.000  0.658
Mg  0.717  0.500  0.217
Cu  0.000  0.000  0.500
Cu  0.000  0.500  0.000
Cu  0.500  0.000  0.000
Cu  0.500  0.500  0.500



No. 12
# ZrP2RuCl

A relaxed ZrP2RuCl crystal (PBE, Alexandria).

Computed properties:
ΔE to the lowest computed polymorph ... 0 meV per atom
Space-group type ... P4/mmm, No. 123
Energy relative to the elements, uncorrected ... 0.28 eV per atom

Unit cell a=4.558 b=4.558 c=4.707 alpha=90.00 beta=90.00 gamma=90.00
Fractional positions:
Zr  0.000  0.000  0.000
P  0.000  0.500  0.500
P  0.500  0.000  0.500
Ru  0.500  0.500  0.500
Cl  0.500  0.500  0.000



No. 13
# TiN

A relaxed TiN crystal (PBE, Alexandria).

Computed properties:
Space-group type ... P6_3/m, No. 176
Energy relative to the elements, uncorrected ... -1.34 eV per atom

Unit cell a=7.601 b=7.601 c=3.404 alpha=90.00 beta=90.00 gamma=120.00
Fractional positions:
Ti  0.112  0.678  0.250
Ti  0.322  0.433  0.250
Ti  0.433  0.112  0.750
Ti  0.567  0.888  0.250
Ti  0.678  0.567  0.750
Ti  0.888  0.322  0.750
N  0.039  0.376  0.250
N  0.337  0.961  0.250
N  0.376  0.337  0.750
N  0.624  0.663  0.250
N  0.663  0.039  0.750
N  0.961  0.624  0.750



No. 14
# BaZn3Se4O12

A relaxed BaZn3Se4O12 crystal (PBE, Alexandria).

Computed properties:
Space-group type ... R32, No. 155
Energy relative to the elements, uncorrected ... -0.77 eV per atom

Unit cell a=7.110 b=7.110 c=7.110 alpha=106.79 beta=106.79 gamma=106.79
Fractional positions:
Ba  0.000  0.000  0.000
Zn  0.000  0.564  0.436
Zn  0.436  0.000  0.564
Zn  0.564  0.436  0.000
Se  0.056  0.500  0.944
Se  0.500  0.500  0.500
Se  0.500  0.944  0.056
Se  0.944  0.056  0.500
O  0.049  0.636  0.766
O  0.111  0.889  0.500
O  0.234  0.364  0.951
O  0.341  0.659  0.500
O  0.364  0.951  0.234
O  0.500  0.111  0.889
O  0.500  0.341  0.659
O  0.636  0.766  0.049
O  0.659  0.500  0.341
O  0.766  0.049  0.636
O  0.889  0.500  0.111
O  0.951  0.234  0.364



No. 15
# NbTc2Te

A relaxed NbTc2Te crystal (PBE, Alexandria).

Computed properties:
Space-group type ... I-42d, No. 122
Energy relative to the elements, uncorrected ... 0.61 eV per atom

Unit cell a=4.074 b=4.074 c=18.208 alpha=90.00 beta=90.00 gamma=90.00
Fractional positions:
Nb  0.000  0.000  0.000
Nb  0.000  0.500  0.250
Nb  0.500  0.000  0.750
Nb  0.500  0.500  0.500
Tc  0.211  0.250  0.625
Tc  0.250  0.711  0.875
Tc  0.250  0.789  0.375
Tc  0.289  0.250  0.125
Tc  0.711  0.750  0.125
Tc  0.750  0.211  0.375
Tc  0.750  0.289  0.875
Tc  0.789  0.750  0.625
Te  0.000  0.000  0.500
Te  0.000  0.500  0.750
Te  0.500  0.000  0.250
Te  0.500  0.500  0.000



No. 16
# KIn2Ni

A relaxed KIn2Ni crystal (PBE, Alexandria).

Computed properties:
Space-group type ... C2/m, No. 12
Formation enthalpy at 0 K ... 465 meV per atom

Unit cell a=6.297 b=10.623 c=3.050 alpha=90.00 beta=105.62 gamma=90.00
Fractional positions:
K  0.000  0.000  0.000
K  0.500  0.500  0.000
In  0.250  0.250  0.500
In  0.250  0.750  0.500
In  0.750  0.250  0.500
In  0.750  0.750  0.500
Ni  0.000  0.500  0.000
Ni  0.500  0.000  0.000



No. 17
# CuPH2

A relaxed CuPH2 crystal (PBE, Alexandria).

Computed properties:
ΔE to the lowest computed polymorph ... 153 meV per atom
Space-group type ... Pmm2, No. 25

Unit cell a=2.789 b=3.963 c=3.473 alpha=90.00 beta=90.00 gamma=90.00
Fractional positions:
Cu  0.000  0.000  0.000
P  0.500  0.500  0.948
H  0.000  0.000  0.502
H  0.500  0.500  0.536



No. 18
# NaAgF2

A relaxed NaAgF2 crystal (PBE, Alexandria).

Computed properties:
Space-group type ... P4/mmm, No. 123
Energy relative to the elements, uncorrected ... -1.75 eV per atom

Unit cell a=2.907 b=2.907 c=6.097 alpha=90.00 beta=90.00 gamma=90.00
Fractional positions:
Na  0.000  0.000  0.000
Ag  0.000  0.000  0.500
F  0.500  0.500  0.227
F  0.500  0.500  0.773



No. 19
# NaScBeB

A relaxed NaScBeB crystal (PBE, Alexandria).

Computed properties:
ΔE to the lowest computed polymorph ... 233 meV per atom
Space-group type ... Amm2, No. 38
Formation enthalpy at 0 K ... 288 meV per atom

Unit cell a=3.406 b=3.193 c=12.543 alpha=90.00 beta=90.00 gamma=90.00
Fractional positions:
Na  0.000  0.000  0.000
Na  0.000  0.500  0.500
Sc  0.500  0.000  0.277
Sc  0.500  0.500  0.777
Be  0.500  0.000  0.627
Be  0.500  0.500  0.127
B  0.000  0.000  0.696
B  0.000  0.500  0.196



No. 20
# Pm2Tl2SnO6

A relaxed Pm2Tl2SnO6 crystal (PBE, Alexandria).

Computed properties:
Space-group type ... C2/m, No. 12
Energy relative to the elements, uncorrected ... -2.05 eV per atom

Unit cell a=6.059 b=6.059 c=6.811 alpha=97.72 beta=97.72 gamma=119.68
Fractional positions:
Pm  0.166  0.834  0.000
Pm  0.834  0.166  0.000
Tl  0.338  0.662  0.500
Tl  0.662  0.338  0.500
Sn  0.500  0.500  0.000
O  0.145  0.453  0.836
O  0.257  0.257  0.174
O  0.453  0.145  0.836
O  0.547  0.855  0.164
O  0.743  0.743  0.826
O  0.855  0.547  0.164